# KAg2Au | Alexandria | GGA-PBE | relaxed
data_KAg2Au
_chemical_formula_sum 'K1 Ag2 Au1'
_cell_length_a 10.431
_cell_length_b 10.431
_cell_length_c 10.431
_cell_angle_alpha 17.39
_cell_angle_beta 17.39
_cell_angle_gamma 17.39
_symmetry_space_group_name_H-M 'P 1'
_symmetry_Int_Tables_number 1
loop_
_symmetry_equiv_pos_as_xyz
'x,y,z'
loop_
_atom_site_label
_atom_site_fract_x
_atom_site_fract_y
_atom_site_fract_z
Ag1 0.990 0.990 0.990
Ag2 0.510 0.510 0.510
Au1 0.250 0.250 0.250
K1 0.750 0.750 0.750
# * E_tot: -2.23 eV per atom
# * symmetry: R-3m
# * ΔH_f (0 K): 287 meV per atom
# * volume: 22.1 Å³/atom
# * D(E_F): 2.5 states/eV/f.u.

***

# Th6HgIr2Se3 | Alexandria | GGA-PBE | relaxed
data_Th6HgIr2Se3
_chemical_formula_sum 'Th6 Hg1 Ir2 Se3'
_cell_length_a 4.170
_cell_length_b 8.825
_cell_length_c 9.665
_cell_angle_alpha 105.60
_cell_angle_beta 102.46
_cell_angle_gamma 90.00
_symmetry_space_group_name_H-M 'P 1'
_symmetry_Int_Tables_number 1
loop_
_symmetry_equiv_pos_as_xyz
'x,y,z'
loop_
_atom_site_label
_atom_site_fract_x
_atom_site_fract_y
_atom_site_fract_z
Th1 0.329 0.892 0.659
Th2 0.675 0.565 0.349
Th3 0.671 0.108 0.341
Th4 0.010 0.267 0.020
Th5 0.990 0.733 0.980
Th6 0.325 0.435 0.651
Hg1 0.500 0.000 0.000
Ir1 0.832 0.667 0.664
Ir2 0.168 0.333 0.336
Se1 0.500 0.500 0.000
Se2 0.839 0.167 0.678
Se3 0.161 0.833 0.322
# * energy relative to the elements, uncorrected: -1.12 eV per atom
# * E_tot: -7.20 eV per atom
# * symmetry: C2/m
# * volume: 27.8 Å³/atom
# * D(E_F): 8.7 states/eV/f.u.